Record 1
{
  "formula": "LiZrMo",
  "functional": "PBE",
  "state": "relaxed",
  "m_tot_mub_per_fu": 0.00,
  "formation_enthalpy_0k_mev_per_atom": 365,
  "e_above_lowest_polymorph_mev_per_atom": 90,
  "total_energy_ev_per_atom": -6.732,
  "lattice": [[7.513, 0.011, 0.000], [6.496, 3.774, 0.000], [-7.005, -1.892, 1.949]],
  "species": ["Zr", "Li", "Mo"],
  "fractional_positions": [[0.675, 0.675, 0.000], [0.990, 0.990, 0.000], [0.336, 0.336, 0.000]]
}

=====

Record 2
{
  "formula": "Pm2MgPb",
  "functional": "PBE",
  "state": "relaxed",
  "m_tot_mub_per_fu": 0.00,
  "formation_enthalpy_0k_mev_per_atom": -313,
  "total_energy_ev_per_atom": -4.014,
  "lattice": [[3.984, 0.000, 0.000], [0.000, 3.984, 0.000], [0.000, 0.000, 7.394]],
  "species": ["Pb", "Pm", "Pm", "Mg"],
  "fractional_positions": [[0.500, 0.500, 0.000], [0.000, 0.000, 0.254], [0.000, 0.000, 0.746], [0.500, 0.500, 0.500]]
}

=====

Record 3
{
  "formula": "SrCeZnN3",
  "functional": "PBE",
  "state": "relaxed",
  "m_tot_mub_per_fu": 0.93,
  "e_form_raw_kj_per_mol_fu": -333.0,
  "total_energy_ev_per_atom": -6.220,
  "lattice": [[3.560, 0.000, 0.000], [0.000, 7.422, 0.486], [0.000, -1.457, 7.577]],
  "species": ["N", "N", "N", "N", "N", "N", "Ce", "Ce", "Zn", "Zn", "Sr", "Sr"],
  "fractional_positions": [[0.750, 0.173, 0.496], [0.750, 0.429, 0.132], [0.250, 0.571, 0.868], [0.250, 0.827, 0.504], [0.250, 0.149, 0.855], [0.750, 0.851, 0.145], [0.250, 0.640, 0.166], [0.750, 0.360, 0.834], [0.250, 0.108, 0.595], [0.750, 0.892, 0.405], [0.750, 0.838, 0.803], [0.250, 0.162, 0.197]]
}

=====

Record 4
{
  "formula": "Ba4HgPb",
  "functional": "PBE",
  "state": "relaxed",
  "m_tot_mub_per_fu": 0.00,
  "formation_enthalpy_0k_mev_per_atom": -344,
  "e_above_lowest_polymorph_mev_per_atom": 0,
  "total_energy_ev_per_atom": -2.294,
  "lattice": [[-2.720, 1.729, 4.949], [-5.072, 0.548, -2.979], [-1.950, -8.224, 1.803]],
  "species": ["Ba", "Ba", "Ba", "Ba", "Pb", "Hg"],
  "fractional_positions": [[0.501, 0.998, 0.746], [0.001, 0.497, 0.746], [0.501, 0.997, 0.250], [0.001, 0.497, 0.250], [0.501, 0.497, 0.998], [0.001, 0.997, 0.498]]
}